(1)
Tm2Ga2Fe15: optimized geometry, PBE.

Output
- total DFT energy (no corrections) (eV/cell) = -286.49
- formation enthalpy at 0 K (eV per formula unit) = -1.31
- energy above the lowest structure with this stoichiometry (eV per atom) = 0.004
- total magnetic moment (μB per atom) = 1.54

Cell: 8.3527 8.3527 8.3326 Å, 90.00 90.00 120.00°
Space group P6_3/mmc (No. 194)
Asymmetric unit:
Tm: 0.0000 0.0000 0.2500 (multiplicity 2)
Tm: 0.3333 0.6667 0.2500 (multiplicity 2)
Ga: 0.3333 0.6667 0.6003 (multiplicity 4)
Fe: 0.0000 0.5000 0.0000 (multiplicity 6)
Fe: 0.0272 0.3579 0.7500 (multiplicity 12)
Fe: 0.1650 0.3301 0.0120 (multiplicity 12)

=====

(2)
Tb9SmDy2: optimized geometry, PBE.

Output
- total DFT energy (no corrections) (eV/cell) = -55.37
- formation enthalpy at 0 K (eV per formula unit) = 0.23
- energy above the lowest structure with this stoichiometry (eV per atom) = 0.000
- total magnetic moment (μB per atom) = 0.00

Cell: 5.039 5.039 15.113 Å, 90.00 90.00 90.00°
Space group P4/mmm (No. 123)
Asymmetric unit:
Tb: 0.000 0.000 0.000 (multiplicity 1)
Tb: 0.000 0.000 0.334 (multiplicity 2)
Tb: 0.000 0.500 0.168 (multiplicity 4)
Tb: 0.000 0.500 0.500 (multiplicity 2)
Sm: 0.500 0.500 0.000 (multiplicity 1)
Dy: 0.500 0.500 0.334 (multiplicity 2)

=====

(3)
Li2PmPrTe4: optimized geometry, PBE.

Output
- total DFT energy (no corrections) (eV/cell) = -36.30
- formation energy (no corrections) (eV/atom) = -1.30
- total magnetic moment (μB per atom) = 0.00

Cell: 7.547 4.465 7.730 Å, 90.00 109.93 90.00°
Space group P2/m (No. 10)
Asymmetric unit:
Li: 0.000 0.000 0.000 (multiplicity 1)
Li: 0.000 0.500 0.500 (multiplicity 1)
Pm: 0.500 0.000 0.500 (multiplicity 1)
Pr: 0.500 0.500 0.000 (multiplicity 1)
Te: 0.237 0.000 0.743 (multiplicity 2)
Te: 0.239 0.500 0.249 (multiplicity 2)

=====

(4)
LaHo4In: optimized geometry, PBE.

Output
- total DFT energy (no corrections) (eV/cell) = -101.65
- formation enthalpy at 0 K (eV per formula unit) = 0.56
- energy above the lowest structure with this stoichiometry (eV per atom) = 0.235
- total magnetic moment (μB per atom) = 0.00

Cell: 5.514 15.234 9.200 Å, 90.00 90.00 90.00°
Space group Cmc2_1 (No. 36)
Asymmetric unit:
La: 0.000 0.121 0.000 (multiplicity 4)
Ho: 0.000 0.100 0.631 (multiplicity 4)
Ho: 0.000 0.256 0.329 (multiplicity 4)
Ho: 0.000 0.331 0.673 (multiplicity 4)
Ho: 0.000 0.479 0.354 (multiplicity 4)
In: 0.000 0.335 0.016 (multiplicity 4)

=====

(5)
Ba2NaCaPd: optimized geometry, PBE.

Output
- total DFT energy (no corrections) (eV/cell) = -12.86
- formation enthalpy at 0 K (eV per formula unit) = -0.50
- energy above the lowest structure with this stoichiometry (eV per atom) = 0.168
- total magnetic moment (μB per atom) = 0.00

Cell: 6.222 6.222 5.865 Å, 90.00 90.00 90.00°
Space group P4/mmm (No. 123)
Asymmetric unit:
Ba: 0.000 0.500 0.000 (multiplicity 2)
Na: 0.000 0.000 0.500 (multiplicity 1)
Ca: 0.500 0.500 0.500 (multiplicity 1)
Pd: 0.000 0.000 0.000 (multiplicity 1)

=====

(6)
Hf2VBi: optimized geometry, PBE.

Output
- total DFT energy (no corrections) (eV/cell) = -122.02
- formation enthalpy at 0 K (eV per formula unit) = 2.40
- energy above the lowest structure with this stoichiometry (eV per atom) = 0.572
- total magnetic moment (μB per atom) = 0.56

Cell: 4.192 4.192 20.972 Å, 90.00 90.00 90.00°
Space group I-42d (No. 122)
Asymmetric unit:
Hf: 0.248 0.250 0.125 (multiplicity 8)
V: 0.000 0.000 0.000 (multiplicity 4)
Bi: 0.000 0.000 0.500 (multiplicity 4)